No. 1
Here is a relaxed structure of TiBCl2 from Alexandria via LeMat-Bulk. Energies are from PBE.

Cell and atoms, written as POSCAR:
```
TiBCl2
1.0
3.340 0.000 0.000
-1.670 2.893 0.000
0.000 0.000 23.849
Ti B Cl
3 3 6
Direct
0.000 0.000 0.000 Ti
0.333 0.667 0.667 Ti
0.667 0.333 0.333 Ti
0.000 0.000 0.500 B
0.333 0.667 0.167 B
0.667 0.333 0.833 B
0.000 0.000 0.098 Cl
0.000 0.000 0.902 Cl
0.333 0.667 0.569 Cl
0.333 0.667 0.764 Cl
0.667 0.333 0.236 Cl
0.667 0.333 0.431 Cl
```

Calculated values
E above lowest polymorph (meV per atom): 449
Raw formation energy (eV/f.u.): 2.44
Energy (Ry per atom): -0.2908

---

No. 2
Here is a relaxed structure of MgMnBi3 from Alexandria via LeMat-Bulk. Energies are from PBE.

Cell and atoms, written as POSCAR:
```
MgMnBi3
1.0
5.187 0.000 0.000
0.000 5.187 0.000
0.000 0.000 5.187
Mg Mn Bi
1 1 3
Direct
0.000 0.000 0.000 Mg
0.500 0.500 0.500 Mn
0.000 0.500 0.500 Bi
0.500 0.000 0.500 Bi
0.500 0.500 0.000 Bi
```

Calculated values
E above lowest polymorph (meV per atom): 0
Energy (Ry per atom): -0.2956
Energy of formation (meV per atom): 460

---

No. 3
Here is a relaxed structure of ZrGaBiSb2 from Alexandria via LeMat-Bulk. Energies are from PBE.

Cell and atoms, written as POSCAR:
```
ZrGaBiSb2
1.0
5.571 0.000 0.000
0.000 5.571 0.000
0.000 0.000 5.259
Zr Ga Bi Sb
1 1 1 2
Direct
0.000 0.000 0.000 Zr
0.000 0.000 0.500 Ga
0.500 0.500 0.500 Bi
0.000 0.500 0.000 Sb
0.500 0.000 0.000 Sb
```

Calculated values
Raw formation energy (eV/f.u.): 1.65
Energy (Ry per atom): -0.3242